Here is BaCuCl3 at its PBEsol-relaxed geometry from Alexandria. Energies are from SCAN.

calculated total energy = -1.288 Ry/atom

Cell and atoms, written as POSCAR:
```
BaCuCl3
1.0
4.832 0.000 0.000
0.000 4.832 0.000
0.000 0.000 4.832
Ba Cu Cl
1 1 3
Direct
0.000 0.000 0.000
0.500 0.500 0.500
0.000 0.500 0.500
0.500 0.000 0.500
0.500 0.500 0.000
```


Here is BaNaCuClO2 at its PBEsol-relaxed geometry from Alexandria. Energies are from SCAN.

calculated total energy = -1.106 Ry/atom

Cell and atoms, written as POSCAR:
```
BaNaCuClO2
1.0
3.900 0.000 0.000
0.000 3.900 0.000
0.000 0.000 6.984
Ba Na Cu Cl O
1 1 1 1 2
Direct
0.000 0.000 0.000
0.000 0.000 0.549
0.500 0.500 0.734
0.500 0.500 0.258
0.000 0.500 0.752
0.500 0.000 0.752
```


Here is Ba2NbCu2Pb2ClO8 at its PBEsol-relaxed geometry from Alexandria. Energies are from SCAN.

calculated total energy = -1.763 Ry/atom

Cell and atoms, written as POSCAR:
```
Ba2NbCu2Pb2ClO8
1.0
15.406 0.000 0.000
0.000 2.801 2.802
0.000 -2.801 2.802
Ba Nb Cu Pb Cl O
2 1 2 2 1 8
Direct
0.152 0.000 0.000
0.848 0.000 0.000
0.000 0.502 0.502
0.279 0.498 0.498
0.721 0.498 0.498
0.384 0.998 0.998
0.616 0.998 0.998
0.500 0.499 0.499
0.000 0.489 0.996
0.000 0.996 0.489
0.129 0.496 0.496
0.290 0.498 0.998
0.290 0.998 0.498
0.710 0.498 0.998
0.710 0.998 0.498
0.871 0.496 0.496
```


Here is Ba2CuClO2 at its PBEsol-relaxed geometry from Alexandria. Energies are from SCAN.

calculated total energy = -1.575 Ry/atom

Cell and atoms, written as POSCAR:
```
Ba2CuClO2
1.0
2.135 1.233 9.365
-2.135 1.233 9.365
0.000 -2.465 9.365
Ba Cu Cl O
2 1 1 2
Direct
0.245 0.245 0.245
0.755 0.755 0.755
0.000 0.000 0.000
0.500 0.500 0.500
0.064 0.064 0.064
0.936 0.936 0.936
```


Here is Ba3Cu2Cl2O4 at its PBEsol-relaxed geometry from Alexandria. Energies are from SCAN.

calculated total energy = -1.428 Ry/atom

Cell and atoms, written as POSCAR:
```
Ba3Cu2Cl2O4
1.0
6.535 0.000 0.000
0.000 5.955 0.000
0.000 0.000 10.511
Ba Cu Cl O
6 4 4 8
Direct
0.250 0.000 0.050
0.250 0.000 0.701
0.250 0.500 0.288
0.750 0.000 0.299
0.750 0.000 0.950
0.750 0.500 0.712
0.000 0.500 0.000
0.250 0.500 0.830
0.500 0.500 0.000
0.750 0.500 0.170
0.250 0.000 0.384
0.250 0.500 0.586
0.750 0.000 0.616
0.750 0.500 0.414
0.031 0.277 0.861
0.031 0.723 0.861
0.469 0.277 0.861
0.469 0.723 0.861
0.531 0.277 0.139
0.531 0.723 0.139
0.969 0.277 0.139
0.969 0.723 0.139
```


Here is BaCuPClO4 at its PBEsol-relaxed geometry from Alexandria. Energies are from SCAN.

calculated total energy = -1.075 Ry/atom

Cell and atoms, written as POSCAR:
```
BaCuPClO4
1.0
7.262 0.000 0.000
0.000 7.838 0.000
0.000 0.000 8.679
Ba Cu P Cl O
4 4 4 4 16
Direct
0.125 0.017 0.205
0.375 0.983 0.705
0.625 0.483 0.795
0.875 0.517 0.295
0.135 0.490 0.679
0.365 0.510 0.179
0.635 0.010 0.321
0.865 0.990 0.821
0.126 0.685 0.919
0.374 0.315 0.419
0.626 0.815 0.081
0.874 0.185 0.581
0.169 0.737 0.462
0.331 0.263 0.962
0.669 0.763 0.538
0.831 0.237 0.038
0.028 0.078 0.657
0.078 0.878 0.916
0.163 0.639 0.090
0.206 0.350 0.312
0.294 0.650 0.812
0.337 0.361 0.590
0.422 0.122 0.416
0.472 0.922 0.157
0.528 0.422 0.343
0.578 0.622 0.084
0.663 0.861 0.910
0.706 0.150 0.688
0.794 0.850 0.188
0.837 0.139 0.410
0.922 0.378 0.584
0.972 0.578 0.843
```


Here is Ba2TaCu2Pb2ClO8 at its PBEsol-relaxed geometry from Alexandria. Energies are from SCAN.

calculated total energy = -1.922 Ry/atom

Cell and atoms, written as POSCAR:
```
Ba2TaCu2Pb2ClO8
1.0
15.469 0.000 0.000
0.000 2.791 2.791
0.000 -2.791 2.791
Ba Ta Cu Pb Cl O
2 1 2 2 1 8
Direct
0.153 0.000 0.000
0.847 0.000 0.000
0.000 0.500 0.500
0.278 0.500 0.500
0.722 0.500 0.500
0.384 0.000 0.000
0.616 0.000 0.000
0.500 0.499 0.499
0.000 0.000 0.501
0.000 0.501 0.000
0.127 0.500 0.500
0.290 0.000 0.500
0.290 0.500 0.000
0.710 0.000 0.500
0.710 0.500 0.000
0.873 0.500 0.500
```


Here is BaCuPCl2 at its PBEsol-relaxed geometry from Alexandria. Energies are from SCAN.

calculated total energy = -1.267 Ry/atom

Cell and atoms, written as POSCAR:
```
BaCuPCl2
1.0
4.910 0.000 0.000
0.000 4.910 0.000
0.000 0.000 4.594
Ba Cu P Cl
1 1 1 2
Direct
0.000 0.000 0.000
0.500 0.500 0.500
0.500 0.500 0.000
0.000 0.500 0.500
0.500 0.000 0.500
```


Here is Ba2CuS2Cl2 at its PBEsol-relaxed geometry from Alexandria. Energies are from SCAN.

calculated total energy = -1.502 Ry/atom

Cell and atoms, written as POSCAR:
```
Ba2CuS2Cl2
1.0
-2.282 2.282 8.456
2.282 -2.282 8.456
2.282 2.282 -8.456
Ba Cu S Cl
2 1 2 2
Direct
0.128 0.128 0.000
0.872 0.872 0.000
0.500 0.500 0.000
0.000 0.500 0.500
0.500 0.000 0.500
0.315 0.315 0.000
0.685 0.685 0.000
```


Here is Ba2DyCl7 at its PBEsol-relaxed geometry from Alexandria. Energies are from SCAN.

calculated total energy = -1.544 Ry/atom

Cell and atoms, written as POSCAR:
```
Ba2DyCl7
1.0
6.777 0.000 0.000
0.000 15.394 0.000
-0.134 0.000 10.434
Ba Dy Cl
8 4 28
Direct
0.234 0.220 0.451
0.234 0.280 0.951
0.236 0.561 0.324
0.236 0.939 0.824
0.764 0.061 0.176
0.764 0.439 0.676
0.766 0.720 0.049
0.766 0.780 0.549
0.280 0.627 0.782
0.280 0.873 0.282
0.720 0.127 0.718
0.720 0.373 0.218
0.012 0.742 0.303
0.012 0.758 0.803
0.013 0.605 0.585
0.013 0.895 0.085
0.203 0.041 0.287
0.203 0.459 0.787
0.206 0.639 0.031
0.206 0.861 0.531
0.374 0.069 0.621
0.374 0.431 0.121
0.498 0.104 0.928
0.498 0.396 0.428
0.499 0.228 0.204
0.499 0.272 0.704
0.501 0.728 0.296
0.501 0.772 0.796
0.502 0.604 0.572
0.502 0.896 0.072
0.626 0.569 0.879
0.626 0.931 0.379
0.794 0.139 0.469
0.794 0.361 0.969
0.797 0.541 0.213
0.797 0.959 0.713
0.987 0.105 0.915
0.987 0.395 0.415
0.988 0.242 0.197
0.988 0.258 0.697
```


Here is Ba2ErCl7 at its PBEsol-relaxed geometry from Alexandria. Energies are from SCAN.

calculated total energy = -1.562 Ry/atom

Cell and atoms, written as POSCAR:
```
Ba2ErCl7
1.0
6.768 0.000 0.000
0.000 15.354 0.000
-0.125 0.000 10.410
Ba Er Cl
8 4 28
Direct
0.235 0.220 0.451
0.235 0.280 0.951
0.236 0.561 0.324
0.236 0.939 0.824
0.764 0.061 0.176
0.764 0.439 0.676
0.765 0.720 0.049
0.765 0.780 0.549
0.280 0.627 0.782
0.280 0.873 0.282
0.720 0.127 0.718
0.720 0.373 0.218
0.012 0.742 0.302
0.012 0.758 0.802
0.013 0.605 0.586
0.013 0.895 0.086
0.203 0.041 0.287
0.203 0.459 0.787
0.204 0.638 0.028
0.204 0.862 0.528
0.377 0.069 0.621
0.377 0.431 0.121
0.499 0.104 0.927
0.499 0.396 0.427
0.499 0.729 0.296
0.499 0.771 0.796
0.501 0.229 0.204
0.501 0.271 0.704
0.501 0.604 0.573
0.501 0.896 0.073
0.623 0.569 0.879
0.623 0.931 0.379
0.796 0.138 0.472
0.796 0.362 0.972
0.797 0.541 0.213
0.797 0.959 0.713
0.987 0.105 0.914
0.987 0.395 0.414
0.988 0.242 0.198
0.988 0.258 0.698
```


Here is Ba6EuCl2F12 at its PBEsol-relaxed geometry from Alexandria. Energies are from SCAN.

calculated total energy = -1.512 Ry/atom

Cell and atoms, written as POSCAR:
```
Ba6EuCl2F12
1.0
10.486 0.000 0.000
-5.243 9.081 0.000
0.000 0.000 4.122
Ba Eu Cl F
6 1 2 12
Direct
0.047 0.779 0.000
0.221 0.268 0.000
0.444 0.071 0.500
0.628 0.556 0.500
0.732 0.953 0.000
0.929 0.372 0.500
0.333 0.667 0.500
0.000 0.000 0.500
0.667 0.333 0.000
0.126 0.571 0.000
0.190 0.406 0.500
0.216 0.810 0.500
0.282 0.051 0.000
0.394 0.295 0.500
0.429 0.555 0.000
0.445 0.874 0.000
0.594 0.784 0.500
0.705 0.100 0.500
0.768 0.718 0.000
0.900 0.606 0.500
0.949 0.232 0.000
```